## i
This record from the Alexandria database describes a relaxed structure of Ni2C3. The functional is PBE.

Spin magnetization in μB/f.u.: 0.00
V in A^3/atom: 8.708

Cell and atoms, written as POSCAR:
```
Ni2C3
1.0
1.483 1.814 1.041
-1.603 -1.349 1.478
5.486 -5.185 1.218
Ni C
2 3
direct
0.667 0.333 0.159 Ni
0.333 0.667 0.841 Ni
0.000 0.000 0.000 C
0.667 0.333 0.498 C
0.333 0.667 0.502 C
```



## ii
This record from the Alexandria database describes a relaxed structure of Ni2C3. The functional is PBE.

Spin magnetization in μB/f.u.: 0.00
V in A^3/atom: 10.579

Cell and atoms, written as POSCAR:
```
Ni2C3
1.0
9.430 -1.274 0.001
9.430 1.274 0.001
9.258 0.000 2.202
Ni C
2 3
direct
0.624 0.624 0.624 Ni
0.376 0.376 0.376 Ni
0.000 0.000 0.000 C
0.167 0.167 0.167 C
0.833 0.833 0.833 C
```



Tell me which of them is the least stable. Sure, it is ii.



## i
This record from the Alexandria database describes a relaxed structure of Ni4C5. The functional is PBE.

Spin magnetization in μB/f.u.: 0.00
V in A^3/atom: 9.916

Cell and atoms, written as POSCAR:
```
Ni4C5
1.0
1.405 -0.935 5.882
-0.886 3.242 -5.114
-6.006 -0.361 1.114
Ni C
4 5
direct
0.782 0.000 0.782 Ni
0.218 0.000 0.218 Ni
0.000 0.218 0.218 Ni
0.000 0.782 0.782 Ni
0.000 0.000 0.000 C
0.719 0.281 0.000 C
0.281 0.719 0.000 C
0.281 0.281 0.561 C
0.719 0.719 0.439 C
```



## ii
This record from the Alexandria database describes a relaxed structure of Ni4C5. The functional is PBE.

Spin magnetization in μB/f.u.: 0.00
V in A^3/atom: 9.182

Cell and atoms, written as POSCAR:
```
Ni4C5
1.0
5.352 0.000 0.000
-2.676 4.635 0.000
0.000 0.000 6.664
Ni C
8 10
direct
0.000 0.000 0.000 Ni
0.000 0.000 0.500 Ni
0.000 0.491 0.250 Ni
0.509 0.509 0.250 Ni
0.491 0.000 0.250 Ni
0.000 0.509 0.750 Ni
0.491 0.491 0.750 Ni
0.509 0.000 0.750 Ni
0.000 0.833 0.250 C
0.167 0.167 0.250 C
0.833 0.000 0.250 C
0.000 0.167 0.750 C
0.833 0.833 0.750 C
0.167 0.000 0.750 C
0.667 0.333 0.000 C
0.333 0.667 0.500 C
0.333 0.667 0.000 C
0.667 0.333 0.500 C
```



Tell me which of them is the least stable. Sure, it is ii.



## i
This record from the Alexandria database describes a relaxed structure of NpNiC. The functional is PBE.

Spin magnetization in μB/f.u.: 3.64
V in A^3/atom: 14.974

Cell and atoms, written as POSCAR:
```
NpNiC
1.0
4.924 0.000 0.000
-2.462 4.449 -0.065
0.000 -2.662 4.140
Ni C Np
2 2 2
direct
0.709 0.419 0.168 Ni
0.209 0.419 0.668 Ni
0.959 0.919 0.418 C
0.459 0.919 0.918 C
0.960 0.919 0.918 Np
0.460 0.919 0.418 Np
```



## ii
This record from the Alexandria database describes a relaxed structure of NpNiC. The functional is PBE.

Spin magnetization in μB/f.u.: 2.93
V in A^3/atom: 13.190

Cell and atoms, written as POSCAR:
```
NpNiC
1.0
3.578 0.000 0.000
0.000 3.574 0.000
0.000 -1.787 3.095
Np Ni C
1 1 1
direct
0.333 0.667 0.333 Np
0.833 0.333 0.667 Ni
0.834 0.000 0.000 C
```



Tell me which of them is the least stable. Sure, it is ii.